Record 1
First-principles (GGA-PBE) data for a relaxed K2Te2PdO6 crystal, as listed in Alexandria.

Calculated values
total DFT energy (no corrections)	-55.68	eV/cell
M_tot	0.0	μB/f.u.
raw formation energy	-1.114	eV per atom
calculated volume	20.45	Å³ per atom

abc: 6.898 6.898 8.086
angles: 123.85 123.85 47.46
Fractional coordinates of all 11 atoms:
K1 0.209 0.209 0.320
K2 0.791 0.791 0.680
Te1 0.414 0.414 0.147
Te2 0.586 0.586 0.853
Pd1 0.000 0.000 0.500
O1 0.126 0.638 0.270
O2 0.362 0.874 0.730
O3 0.402 0.402 0.719
O4 0.598 0.598 0.281
O5 0.638 0.126 0.270
O6 0.874 0.362 0.730

---

Record 2
First-principles (GGA-PBE) data for a relaxed MnIn2Pd2 crystal, as listed in Alexandria.

Calculated values
total DFT energy (no corrections)	-51.51	eV/cell
energy of formation from the pure elements	-0.14	eV/atom
M_tot	4.3	μB/f.u.
calculated volume	18.65	Å³ per atom

abc: 7.590 7.590 3.238
angles: 90.00 90.00 90.00
Fractional coordinates of all 10 atoms:
Mn1 0.000 0.000 0.000
Mn2 0.500 0.500 0.000
In1 0.144 0.356 0.000
In2 0.356 0.856 0.000
In3 0.644 0.144 0.000
In4 0.856 0.644 0.000
Pd1 0.155 0.655 0.500
Pd2 0.345 0.155 0.500
Pd3 0.655 0.845 0.500
Pd4 0.845 0.345 0.500

---

Record 3
First-principles (GGA-PBE) data for a relaxed Cs2InPdCl6 crystal, as listed in Alexandria.

Calculated values
total DFT energy (no corrections)	-33.50	eV/cell
M_tot	0.6	μB/f.u.
raw formation energy	-1.278	eV per atom
calculated volume	29.45	Å³ per atom

abc: 7.581 7.581 7.581
angles: 122.69 122.69 85.41
Fractional coordinates of all 10 atoms:
Cs1 0.250 0.750 0.500
Cs2 0.750 0.250 0.500
In1 0.000 0.000 0.000
Pd1 0.500 0.500 0.000
Cl1 0.226 0.226 0.000
Cl2 0.258 0.258 0.516
Cl3 0.258 0.742 0.000
Cl4 0.742 0.258 0.000
Cl5 0.742 0.742 0.484
Cl6 0.774 0.774 0.000

---

- M_tot of number 3 (Cs2InPdCl6)?
  0.6 μB/f.u.